Density functional theory data (GGA-PBE) for a geometry-optimized Cs3Tl2I2Br4 structure.

Structure (CIF):
```
data_Cs3Tl2I2Br4
_space_group_name_H-M_alt 'I 4/m m m'
_space_group_IT_number 139
_space_group_name_Hall '-I 4 2'
_cell_length_a 6.033
_cell_length_b 6.033
_cell_length_c 29.415
_cell_angle_alpha 90.00
_cell_angle_beta 90.00
_cell_angle_gamma 90.00
loop_
_atom_site_label
_atom_site_fract_x
_atom_site_fract_y
_atom_site_fract_z
Cs1 0.000 0.000 0.000
Cs2 0.000 0.000 0.169
Tl1 0.000 0.000 0.407
I1 0.000 0.000 0.301
Br1 0.000 0.500 0.079
```

Output
Its uncorrected formation energy is -117 kJ per mole of atoms. The value obtained for the density of states at the Fermi level is 0.34 states/eV/atom.